*one*
BaNdEuSbO6 | GGA-PBE | optimized geometry

POSCAR file:
```
BaNdEuSbO6
1.0
0.0000 4.3087 4.3087
4.3087 0.0000 4.3087
4.3087 4.3087 0.0000
O Eu Nd Sb Ba
6 1 1 1 1
Cartesian
2.3042 4.3087 4.3087
4.3087 6.3132 4.3087
4.3087 4.3087 2.3042
4.3087 4.3087 6.3132
4.3087 2.3042 4.3087
6.3132 4.3087 4.3087
2.1544 2.1544 2.1544
0.0000 0.0000 0.0000
4.3087 4.3087 4.3087
6.4631 6.4631 6.4631
```

Summary:
Crystal system ... cubic
Spin magnetization ... 7.00 μB/f.u.
Volume ... 16.00 Å³ per atom
Mass density ... 6.76 g/cm3

=====

*two*
BaNdEuSbO6 | GGA-PBE | optimized geometry

POSCAR file:
```
BaNdEuSbO6
1.0
6.0379 0.0150 -0.0074
-0.0058 6.0741 0.0059
-0.0619 -0.0511 8.5601
Sb O Nd Eu Ba
2 12 2 2 2
Cartesian
-0.0339 3.0115 4.2830
3.0189 0.0075 -0.0037
1.1037 1.3606 4.6946
1.7160 4.4638 8.2484
3.5145 6.0236 6.5960
4.8664 4.6774 3.8640
4.4071 1.8114 4.0522
1.5630 4.2267 4.5064
2.4556 0.0145 1.9626
0.3445 2.7487 2.3090
1.3877 1.1743 8.1134
4.2540 1.5743 0.3102
4.5824 4.8638 0.4452
5.6256 3.2893 6.2496
2.9880 -0.0180 4.2764
-0.0029 3.0370 0.0029
0.0036 5.8342 6.4075
5.9665 0.2038 2.1511
2.9361 2.8689 6.4210
3.0340 3.1691 2.1376
```

Summary:
Crystal system ... triclinic
Spin magnetization ... 6.99 μB/f.u.
Volume ... 15.70 Å³ per atom
Mass density ... 6.89 g/cm3

=====

*two* (44 meV/atom below the next structure)